No. 1
## Lu5Ga3 (PBEsol)

Data for a relaxed structure of Lu5Ga3.

Calculated values
As for the formation energy: -0.50 eV per atom. Its spin magnetization is 0.0 μB per formula unit. The calculated volume is 370.6 Å³ per cell. The value obtained for the density of states at the Fermi level is 11.37 states/eV/f.u. Its space group is P6_3/mcm (193).

Geometry as POSCAR:
```
Lu5Ga3
1.0
-0.771 -2.104 5.762
8.111 -1.802 0.427
-2.726 7.494 2.371
Ga Lu
6 10
direct
0.750 0.000 0.400
0.250 0.600 0.000
0.750 0.400 0.000
0.250 0.000 0.600
0.250 0.400 0.400
0.750 0.600 0.600
0.750 0.243 0.243
0.500 0.667 0.333
0.750 0.757 0.000
0.750 0.000 0.757
0.000 0.333 0.667
0.000 0.667 0.333
0.500 0.333 0.667
0.250 0.243 0.000
0.250 0.757 0.757
0.250 0.000 0.243
```

No. 2
## LuGa3 (PBEsol)

Data for a relaxed structure of LuGa3.

Calculated values
As for the formation energy: -0.54 eV per atom. Its spin magnetization is 0.0 μB per formula unit. The calculated volume is 71.0 Å³ per cell. The value obtained for the density of states at the Fermi level is 1.79 states/eV/f.u. Its space group is Pm-3m (221).

Geometry as POSCAR:
```
LuGa3
1.0
4.142 0.000 0.000
0.000 4.142 0.000
0.000 0.000 4.142
Lu Ga
1 3
direct
0.000 0.000 0.000
0.500 0.000 0.500
0.000 0.500 0.500
0.500 0.500 0.000
```

No. 3
## LuGa2 (PBEsol)

Data for a relaxed structure of LuGa2.

Calculated values
As for the formation energy: -0.64 eV per atom. Its spin magnetization is 0.0 μB per formula unit. The calculated volume is 111.3 Å³ per cell. The value obtained for the density of states at the Fermi level is 1.41 states/eV/f.u. Its space group is Imma (74).

Geometry as POSCAR:
```
LuGa2
1.0
4.131 0.000 0.000
2.065 5.228 -0.007
2.065 0.892 5.152
Ga Lu
4 2
direct
0.159 0.290 0.391
0.841 0.710 0.609
0.841 0.109 0.210
0.159 0.891 0.790
0.561 0.689 0.189
0.439 0.311 0.811
```

No. 4
## Lu2Ga3Ni (PBEsol)

Data for a relaxed structure of Lu2Ga3Ni.

Calculated values
As for the formation energy: -0.68 eV per atom. Its spin magnetization is 0.0 μB per formula unit. The calculated volume is 105.2 Å³ per cell. The value obtained for the density of states at the Fermi level is 2.73 states/eV/f.u. Its space group is Cm (8).

Geometry as POSCAR:
```
Lu2Ga3Ni
1.0
-0.241 -3.788 1.881
4.786 -2.345 0.659
0.711 0.278 5.420
Ga Lu Ni
3 2 1
direct
0.176 0.773 0.876
0.149 0.384 0.319
0.837 0.234 0.093
0.547 0.203 0.703
0.460 0.787 0.292
0.832 0.620 0.717
```